Below is crystalline SiHg2MoF at its relaxed geometry, with properties calculated at the GGA+U level.

volume: 30.77 Å³ per atom
spin magnetization: 3.454 μB per formula unit
E: -12.3 eV per formula unit
SG: P4/mmm

Lattice parameters (Å, degrees): 5.5849 4.9329 5.5849 90.00 90.00 90.00
Last column: magnetic moment on the atom in μB.
Sites, in units of the cell vectors:
Mo (0.0000, 0.0000, 0.0000)  3.09
Si (0.0000, 0.5000, 0.0000)  -0.13
Hg (0.0000, 0.0000, 0.5000)  0.01
Hg (0.5000, 0.0000, 0.0000)  0.07
F (0.5000, 0.5000, 0.5000)  0.12